Entry from Alexandria via LeMat-Bulk: a relaxed structure of TlNiPO4 (GGA+U).

Values from the calculation:
E = -5.966 eV per atom

Structure (CIF):
```
data_TlNiPO4
_cell_length_a 5.1409
_cell_length_b 5.6209
_cell_length_c 8.1846
_cell_angle_alpha 90.00
_cell_angle_beta 96.54
_cell_angle_gamma 90.00
_space_group_name_H-M_alt 'P 1 21/m 1'
_space_group_IT_number 11
loop_
_space_group_symop_operation_xyz
'x,y,z'
'-x,-y,-z'
'-x,y+1/2,-z'
'x,-y+1/2,z'
loop_
_atom_site_label
_atom_site_type_symbol
_atom_site_fract_x
_atom_site_fract_y
_atom_site_fract_z
_atom_site_occupancy
Tl1 Tl 0.2122 0.2500 0.4651 1
Ni1 Ni 0.3739 0.2500 0.9841 1
P1 P 0.2282 0.7500 0.2127 1
O1 O 0.0717 0.2500 0.8162 1
O2 O 0.3115 0.7500 0.4000 1
O3 O 0.3576 0.5325 0.1314 1
```